No. 1
Here is a relaxed structure of YMnGe2Ir from Alexandria via LeMat-Bulk. Energies are from PBE.

POSCAR file:
```
YMnGe2Ir
1.0
4.4761 0.0000 0.0000
0.0000 4.4761 0.0000
0.0000 0.0000 4.9768
Ge Y Ir Mn
2 1 1 1
direct
0.0000 0.5000 0.0000 Ge
0.5000 0.0000 0.0000 Ge
0.0000 0.0000 0.5000 Y
0.5000 0.5000 0.5000 Ir
0.0000 0.0000 0.0000 Mn
```

## Properties
Its energy above the most stable polymorph in this dataset is 4.97 eV/f.u.

***

No. 2
Here is a relaxed structure of YMnGe2Ir from Alexandria via LeMat-Bulk. Energies are from PBE.

POSCAR file:
```
YMnGe2Ir
1.0
-3.5716 0.4485 1.8607
-1.1192 -3.6850 -1.2600
4.3964 -0.5277 4.1539
Ir Ge Y Mn
1 2 1 1
direct
0.7500 0.2500 0.5000 Ir
0.3836 0.3836 0.7671 Ge
0.6164 0.6164 0.2329 Ge
0.0000 0.0000 0.0000 Y
0.2500 0.7500 0.5000 Mn
```

## Properties
Its energy above the most stable polymorph in this dataset is 0.00 eV/f.u.